Entry 1:
An optimized crystal structure of Al2ReAg, computed with GGA-PBE.

abc: 3.247 4.422 8.862
angles: 90.00 90.00 90.00
Space group Cmm2 (No. 35)
Unique sites:
1 Al 0.000 0.000 0.000 (multiplicity 2)
2 Al 0.000 0.500 0.248 (multiplicity 2)
3 Re 0.000 0.000 0.476 (multiplicity 2)
4 Ag 0.000 0.500 0.749 (multiplicity 2)

Output
Offset from the most stable computed form ... 0.310 eV per atom

---

Entry 2:
An optimized crystal structure of Al2ReAg, computed with GGA-PBE.

abc: 3.080 4.728 8.658
angles: 90.00 90.00 90.00
Space group Cmmm (No. 65)
Unique sites:
1 Al 0.000 0.000 0.236 (multiplicity 4)
2 Re 0.000 0.500 0.000 (multiplicity 2)
3 Ag 0.000 0.500 0.500 (multiplicity 2)

Output
Offset from the most stable computed form ... 0.094 eV per atom

---

Entry 3:
An optimized crystal structure of AlReAg, computed with GGA-PBE.

abc: 2.889 4.580 7.781
angles: 95.41 90.44 107.16
Space group P1 (No. 1)
Unique sites:
1 Al 0.000 0.000 0.000 (multiplicity 1)
2 Al 0.212 0.429 0.477 (multiplicity 1)
3 Re 0.472 0.959 0.298 (multiplicity 1)
4 Re 0.742 0.468 0.177 (multiplicity 1)
5 Ag 0.260 0.513 0.848 (multiplicity 1)
6 Ag 0.528 0.011 0.658 (multiplicity 1)

Output
Offset from the most stable computed form ... 0.239 eV per atom

---

Entry 4:
An optimized crystal structure of AlReAg, computed with GGA-PBE.

abc: 4.258 4.539 5.623
angles: 83.04 89.93 62.04
Space group P1 (No. 1)
Unique sites:
1 Al 0.000 0.000 0.000 (multiplicity 1)
2 Al 0.330 0.343 0.237 (multiplicity 1)
3 Re 0.337 0.326 0.766 (multiplicity 1)
4 Re 0.668 0.664 0.879 (multiplicity 1)
5 Ag 0.003 0.996 0.515 (multiplicity 1)
6 Ag 0.671 0.660 0.370 (multiplicity 1)

Output
Offset from the most stable computed form ... 0.314 eV per atom

---

Entry 5:
An optimized crystal structure of AlReAg4, computed with GGA-PBE.

abc: 7.516 7.516 7.516
angles: 90.00 90.00 90.00
Space group F-43m (No. 216)
Unique sites:
1 Al 0.000 0.000 0.000 (multiplicity 4)
2 Re 0.250 0.250 0.750 (multiplicity 4)
3 Ag 0.125 0.125 0.375 (multiplicity 16)

Output
VASP energy ... -3.81 eV per atom

---

Entry 6:
An optimized crystal structure of AlRe2Ag, computed with GGA-PBE.

abc: 3.786 3.786 4.315
angles: 90.00 90.00 90.00
Space group P4/mmm (No. 123)
Unique sites:
1 Al 0.000 0.000 0.000 (multiplicity 1)
2 Re 0.000 0.500 0.500 (multiplicity 2)
3 Ag 0.500 0.500 0.000 (multiplicity 1)

Output
VASP energy ... -7.44 eV per atom

---

Entry 7:
An optimized crystal structure of AlRe2Ag, computed with GGA-PBE.

abc: 5.297 8.495 2.742
angles: 90.00 90.00 90.00
Space group Cmmm (No. 65)
Unique sites:
1 Al 0.000 0.000 0.000 (multiplicity 2)
2 Re 0.250 0.250 0.500 (multiplicity 4)
3 Ag 0.000 0.500 0.000 (multiplicity 2)

Output
VASP energy ... -7.44 eV per atom

---

Entry 8:
An optimized crystal structure of Al2ReAg, computed with GGA-PBE.

abc: 3.814 4.105 7.865
angles: 90.00 90.00 90.00
Space group Immm (No. 71)
Unique sites:
1 Al 0.000 0.000 0.249 (multiplicity 4)
2 Re 0.000 0.500 0.000 (multiplicity 2)
3 Ag 0.000 0.500 0.500 (multiplicity 2)

Output
Offset from the most stable computed form ... 0.175 eV per atom